4
Lattice="0.000 3.362 3.362 3.362 0.000 3.362 3.362 3.362 0.000" Properties=species:S:1:pos:R:3 comment="LuHfAlRu | Alexandria | PBE-GGA | optimized geometry" space_group=F-43m crystal_system=cubic delta_e_f_ev_per_atom=-0.41 volume_a3_per_atom=18.994 pbc="T T T"
Lu 0.000 0.000 0.000
Hf 3.362 3.362 3.362
Al 5.042 5.042 5.042
Ru 1.681 1.681 1.681

4
Lattice="0.000 3.537 3.537 3.537 0.000 3.537 3.537 3.537 0.000" Properties=species:S:1:pos:R:3 comment="LuHfScAl | Alexandria | PBE-GGA | optimized geometry" space_group=F-43m crystal_system=cubic delta_e_f_ev_per_atom=-0.03 volume_a3_per_atom=22.116 pbc="T T T"
Lu 0.000 0.000 0.000
Hf 3.537 3.537 3.537
Sc 1.768 1.768 1.768
Al 5.305 5.305 5.305

4
Lattice="0.000 3.370 3.370 3.370 0.000 3.370 3.370 3.370 0.000" Properties=species:S:1:pos:R:3 comment="LuHfAlTc | Alexandria | PBE-GGA | optimized geometry" space_group=F-43m crystal_system=cubic delta_e_f_ev_per_atom=-0.31 volume_a3_per_atom=19.136 pbc="T T T"
Lu 0.000 0.000 0.000
Hf 3.370 3.370 3.370
Al 1.685 1.685 1.685
Tc 5.055 5.055 5.055

4
Lattice="0.000 3.474 3.474 3.474 0.000 3.474 3.474 3.474 0.000" Properties=species:S:1:pos:R:3 comment="LuHfTiAl | Alexandria | PBE-GGA | optimized geometry" space_group=F-43m crystal_system=cubic delta_e_f_ev_per_atom=-0.06 volume_a3_per_atom=20.956 pbc="T T T"
Lu 0.000 0.000 0.000
Hf 3.474 3.474 3.474
Ti 5.210 5.210 5.210
Al 1.737 1.737 1.737

4
Lattice="0.000 3.411 3.411 3.411 0.000 3.411 3.411 3.411 0.000" Properties=species:S:1:pos:R:3 comment="LuHfAlZn | Alexandria | PBE-GGA | optimized geometry" space_group=F-43m crystal_system=cubic delta_e_f_ev_per_atom=-0.26 volume_a3_per_atom=19.838 pbc="T T T"
Lu 0.000 0.000 0.000
Hf 3.411 3.411 3.411
Al 5.116 5.116 5.116
Zn 1.705 1.705 1.705

5
Lattice="5.213 0.000 0.000 0.000 5.213 0.000 0.000 0.000 5.213" Properties=species:S:1:pos:R:3 comment="HfMgAl3 | Alexandria | PBE-GGA | optimized geometry" space_group=Pm-3m crystal_system=cubic relative_energy_ev_per_atom=0.0000 delta_e_f_ev_per_atom=0.89 volume_a3_per_atom=28.333 pbc="T T T"
Hf 0.000 0.000 0.000
Mg 2.607 2.607 2.607
Al 0.000 0.000 2.607
Al 0.000 2.607 0.000
Al 2.607 0.000 0.000

8
Lattice="5.019 0.000 0.000 0.000 3.042 5.601 0.000 -3.042 5.601" Properties=species:S:1:pos:R:3 comment="HfMg6Al | Alexandria | PBE-GGA | optimized geometry" space_group=Amm2 crystal_system=orthorhombic relative_energy_ev_per_atom=0.0000 delta_e_f_ev_per_atom=0.04 volume_a3_per_atom=21.380 pbc="T T T"
Hf 0.000 0.000 0.000
Mg 0.000 -1.520 8.374
Mg 0.000 1.520 8.374
Mg 2.510 -1.545 4.554
Mg 2.510 0.000 1.747
Mg 2.510 0.000 7.253
Mg 2.510 1.545 4.554
Al 0.000 0.000 5.534

10
Lattice="7.222 0.000 0.000 0.000 7.222 0.000 0.000 0.000 3.789" Properties=species:S:1:pos:R:3 comment="Hf2MgAl2 | Alexandria | PBE-GGA | optimized geometry" space_group=P4/mbm crystal_system=tetragonal relative_energy_ev_per_atom=0.0000 delta_e_f_ev_per_atom=-0.20 volume_a3_per_atom=19.762 pbc="T T T"
Hf 1.261 2.350 0.000
Hf 2.350 5.961 0.000
Hf 4.872 1.261 0.000
Hf 5.961 4.872 0.000
Mg 0.000 0.000 1.894
Mg 3.611 3.611 1.894
Al 0.890 4.502 1.894
Al 2.721 0.890 1.894
Al 4.502 6.332 1.894
Al 6.332 2.721 1.894

4
Lattice="1.534 0.886 9.619 -1.534 0.886 9.619 0.000 -1.772 9.619" Properties=species:S:1:pos:R:3 comment="HfMgAl2 | Alexandria | PBE-GGA | optimized geometry" space_group=R-3m crystal_system=trigonal delta_e_f_ev_per_atom=-0.08 volume_a3_per_atom=19.610 pbc="T T T"
Hf 0.000 0.000 0.000
Mg 0.000 0.000 14.429
Al 0.000 0.000 7.225
Al 0.000 0.000 21.632

16
Lattice="6.372 0.000 0.000 -3.186 5.518 0.000 0.000 0.000 10.107" Properties=species:S:1:pos:R:3 comment="HfMg14Al | Alexandria | PBE-GGA | optimized geometry" space_group=P-6m2 crystal_system=hexagonal relative_energy_ev_per_atom=0.0236 delta_e_f_ev_per_atom=0.04 volume_a3_per_atom=22.209 pbc="T T T"
Hf 0.000 0.000 0.000
Mg -1.555 2.781 0.000
Mg 0.000 1.783 2.541
Mg 0.000 1.783 7.566
Mg -1.642 4.627 2.541
Mg -1.642 4.627 7.566
Mg 1.555 2.781 0.000
Mg 0.000 5.474 0.000
Mg 3.186 0.019 5.054
Mg 1.610 2.749 5.054
Mg 3.186 1.839 2.454
Mg 3.186 1.839 7.653
Mg 1.642 4.627 2.541
Mg 1.642 4.627 7.566
Mg 4.762 2.749 5.054
Al 0.000 0.000 5.054

4
Lattice="3.158 0.000 0.000 0.000 3.158 0.000 0.000 0.000 7.526" Properties=species:S:1:pos:R:3 comment="HfMgAl2 | Alexandria | PBE-GGA | optimized geometry" space_group=P4/mmm crystal_system=tetragonal delta_e_f_ev_per_atom=-0.17 volume_a3_per_atom=18.768 pbc="T T T"
Hf 0.000 0.000 0.000
Mg 0.000 0.000 3.763
Al 1.579 1.579 1.888
Al 1.579 1.579 5.638

4
Lattice="4.239 0.000 0.000 0.000 4.239 0.000 0.000 0.000 4.058" Properties=species:S:1:pos:R:3 comment="HfMgAl2 | Alexandria | PBE-GGA | optimized geometry" space_group=P4/mmm crystal_system=tetragonal delta_e_f_ev_per_atom=-0.27 volume_a3_per_atom=18.224 pbc="T T T"
Hf 0.000 0.000 0.000
Mg 2.119 2.119 0.000
Al 0.000 2.119 2.029
Al 2.119 0.000 2.029